1.
Material: Y2PBr
Method: DFT, PBE
State: optimized geometry

Computed properties:
E_tot = -6.088 eV per atom
calculated volume = 354.9 Å³ per cell

Geometry as CIF:
```
data_Y2PBr
_chemical_formula_sum 'Y8 P4 Br4'
_space_group_name_H-M_alt 'F m -3 m'
_space_group_IT_number 225
_space_group_name_Hall '-F 4 2 3'
_cell_length_a 7.0800
_cell_length_b 7.0800
_cell_length_c 7.0800
_cell_angle_alpha 90.00
_cell_angle_beta 90.00
_cell_angle_gamma 90.00
loop_
_atom_site_label
_atom_site_type_symbol
_atom_site_fract_x
_atom_site_fract_y
_atom_site_fract_z
Y1 Y 0.2500 0.2500 0.2500
P1 P 0.0000 0.0000 0.0000
Br1 Br 0.0000 0.0000 0.5000
```

---

2.
Material: MoOs2Cl
Method: DFT, PBE
State: optimized geometry

Computed properties:
energy relative to the lowest polymorph listed for this composition = 0.0437 eV per atom
E_tot = -8.268 eV per atom
calculated volume = 182.6 Å³ per cell

Geometry as CIF:
```
data_MoOs2Cl
_chemical_formula_sum 'Mo3 Os6 Cl3'
_space_group_name_H-M_alt 'R -3 m'
_space_group_IT_number 166
_space_group_name_Hall '-R 3 2"'
_cell_length_a 2.8372
_cell_length_b 2.8372
_cell_length_c 26.1885
_cell_angle_alpha 90.00
_cell_angle_beta 90.00
_cell_angle_gamma 120.00
loop_
_atom_site_label
_atom_site_type_symbol
_atom_site_fract_x
_atom_site_fract_y
_atom_site_fract_z
Mo1 Mo 0.0000 0.0000 0.0000
Os1 Os 0.0000 0.0000 0.2511
Cl1 Cl 0.0000 0.0000 0.5000
```